DFT (PBE-GGA) results for a relaxed CaDy3Th2Bi6 crystal.

```
data_CaDy3Th2Bi6
_chemical_formula_sum 'Ca1 Dy3 Th2 Bi6'
_space_group_name_H-M_alt 'P 1'
_space_group_IT_number 1
_space_group_name_Hall 'P 1'
_cell_length_a 4.547
_cell_length_b 9.088
_cell_length_c 10.140
_cell_angle_alpha 102.87
_cell_angle_beta 102.96
_cell_angle_gamma 90.00
loop_
_atom_site_label
_atom_site_type_symbol
_atom_site_fract_x
_atom_site_fract_y
_atom_site_fract_z
Ca1 Ca 0.500 0.000 0.000
Dy1 Dy 0.500 0.500 0.000
Dy2 Dy 0.835 0.167 0.670
Dy3 Dy 0.165 0.833 0.330
Th1 Th 0.836 0.671 0.672
Th2 Th 0.164 0.329 0.328
Bi1 Bi 0.331 0.922 0.663
Bi2 Bi 0.666 0.587 0.332
Bi3 Bi 0.669 0.078 0.337
Bi4 Bi 0.998 0.254 0.996
Bi5 Bi 0.002 0.746 0.004
Bi6 Bi 0.334 0.413 0.668
```

## Properties
**Energy of formation**: -75 kJ per mole of atoms
**Space group**: No. 12



DFT (PBE-GGA) results for a relaxed Ca3DyTh2Bi6 crystal.

```
data_Ca3DyTh2Bi6
_chemical_formula_sum 'Ca3 Dy1 Th2 Bi6'
_space_group_name_H-M_alt 'P 1'
_space_group_IT_number 1
_space_group_name_Hall 'P 1'
_cell_length_a 7.971
_cell_length_b 7.971
_cell_length_c 7.968
_cell_angle_alpha 99.60
_cell_angle_beta 99.60
_cell_angle_gamma 119.99
loop_
_atom_site_label
_atom_site_type_symbol
_atom_site_fract_x
_atom_site_fract_y
_atom_site_fract_z
Ca1 Ca 0.169 0.831 0.500
Ca2 Ca 0.831 0.169 0.500
Ca3 Ca 0.500 0.500 0.500
Dy1 Dy 0.000 0.000 0.000
Th1 Th 0.334 0.666 0.000
Th2 Th 0.666 0.334 0.000
Bi1 Bi 0.919 0.590 0.756
Bi2 Bi 0.753 0.753 0.246
Bi3 Bi 0.081 0.410 0.244
Bi4 Bi 0.590 0.919 0.756
Bi5 Bi 0.247 0.247 0.754
Bi6 Bi 0.410 0.081 0.244
```

## Properties
**Energy of formation**: -72 kJ per mole of atoms
**Space group**: No. 12